Entry from OQMD: a relaxed structure of NiPb (PBE).

Unit cell a=3.8346 b=3.8346 c=3.8346 alpha=60.00 beta=60.00 gamma=60.00
Closest atoms and distances in Å follow each position.
Positions (direct):
Ni 0.0000 0.0000 0.0000  6 Pb 2.71
Pb 0.5000 0.5000 0.5000  6 Ni 2.71

Values from the calculation:
magnetic moment: 0.00 μB/f.u.
SG: Fm-3m (225)
calculated total energy: -4.32 eV/atom



Entry from OQMD: a relaxed structure of BaSnPtPb2 (PBE).

Unit cell a=6.7968 b=6.7968 c=6.7968 alpha=136.26 beta=136.26 gamma=63.58
Closest atoms and distances in Å follow each position.
Positions (direct):
Ba 0.0030 0.0030 0.0000  4 Sn 3.71, 8 Pb 3.83-3.86, 5 Pt 3.95-4.12
Pb 0.7547 0.2547 0.5000  2 Pt 2.82
Pb 0.2547 0.7547 0.5000  2 Pt 2.82
Pt 0.6465 0.6465 0.0000  1 Sn 2.62, 4 Pb 2.82
Sn 0.4201 0.4201 0.0000  1 Pt 2.62

Values from the calculation:
magnetic moment: 0.00 μB/f.u.
SG: I4mm (107)
calculated total energy: -4.40 eV/atom



Entry from OQMD: a relaxed structure of Er2GaNi2 (PBE).

Unit cell a=5.3104 b=5.3104 c=5.3104 alpha=134.00 beta=119.42 gamma=79.29
Closest atoms and distances in Å follow each position.
Positions (direct):
Er 0.7024 0.2024 0.5000  6 Ni 2.83-2.93, 2 Ga 3.15
Er 0.2976 0.7976 0.5000  6 Ni 2.83-2.93, 2 Ga 3.15
Ga 0.0000 0.0000 0.0000  4 Ni 2.53
Ni 0.7299 0.5000 0.2299  1 Ni 2.46, 2 Ga 2.53
Ni 0.2701 0.5000 0.7701  1 Ni 2.46, 2 Ga 2.53

Values from the calculation:
magnetic moment: 0.00 μB/f.u.
SG: Immm (71)
calculated total energy: -5.26 eV/atom



Entry from OQMD: a relaxed structure of Al3Re (PBE).

Unit cell a=7.4163 b=7.4163 c=8.1444 alpha=90.00 beta=90.00 gamma=120.00
Closest atoms and distances in Å follow each position.
Positions (direct):
Al 0.6731 0.0138 0.0769  4 Re 2.66-2.92, 7 Al 2.77-2.86
Al 0.3407 0.3269 0.0769  4 Re 2.66-2.92, 7 Al 2.77-2.86
Al 0.9862 0.6593 0.0769  4 Re 2.66-2.92, 7 Al 2.77-2.86
Al 0.3333 0.6667 0.2305  3 Re 2.47
Al 0.0000 0.0000 0.2500  3 Re 2.48
Al 0.6667 0.3333 0.2695  3 Re 2.47
Al 0.3269 0.3407 0.4231  4 Re 2.66-2.92, 7 Al 2.77-2.86
Al 0.0138 0.6731 0.4231  4 Re 2.66-2.92, 7 Al 2.77-2.86
Al 0.6593 0.9862 0.4231  4 Re 2.66-2.92, 7 Al 2.77-2.86
Al 0.3407 0.0138 0.5769  4 Re 2.66-2.92, 7 Al 2.77-2.86
Al 0.9862 0.3269 0.5769  4 Re 2.66-2.92, 7 Al 2.77-2.86
Al 0.6731 0.6593 0.5769  4 Re 2.66-2.92, 7 Al 2.77-2.86
Al 0.3333 0.6667 0.7305  3 Re 2.47
Al 0.0000 0.0000 0.7500  3 Re 2.48
Al 0.6667 0.3333 0.7695  3 Re 2.47
Al 0.0138 0.3407 0.9231  4 Re 2.66-2.92, 7 Al 2.77-2.86
Al 0.6593 0.6731 0.9231  4 Re 2.66-2.92, 7 Al 2.77-2.86
Al 0.3269 0.9862 0.9231  4 Re 2.66-2.92, 7 Al 2.77-2.86
Re 0.3340 0.0000 0.2500  5 Al 2.47-2.66
Re 0.0000 0.3340 0.2500  5 Al 2.47-2.66
Re 0.6660 0.6660 0.2500  5 Al 2.47-2.66
Re 0.6660 0.0000 0.7500  5 Al 2.47-2.66
Re 0.3340 0.3340 0.7500  5 Al 2.47-2.66
Re 0.0000 0.6660 0.7500  5 Al 2.47-2.66

Values from the calculation:
magnetic moment: 0.00 μB/f.u.
SG: P-3c1 (165)
calculated total energy: -6.08 eV/atom



Entry from OQMD: a relaxed structure of La2Pr2CBr4Cl (PBE).

Unit cell a=9.5465 b=9.5465 c=8.2735 alpha=104.03 beta=104.03 gamma=24.14
Closest atoms and distances in Å follow each position.
Positions (direct):
Br 0.8304 0.8304 0.1753  3 La 3.07-3.39, 1 Pr 3.08
Br 0.1631 0.1631 0.3652  2 La 3.01, 1 Pr 3.02
Br 0.8369 0.8369 0.6348  2 La 3.01, 1 Pr 3.02
Br 0.1696 0.1696 0.8247  3 La 3.07-3.39, 1 Pr 3.08
C 0.5000 0.5000 0.0000  2 La 2.58, 4 Pr 2.67
Cl 0.5000 0.5000 0.5000  4 Pr 3.10
La 0.6429 0.6429 0.0852  1 C 2.58
La 0.3571 0.3571 0.9148  1 C 2.58
Pr 0.9987 0.9987 0.2130  2 C 2.67
Pr 0.0013 0.0013 0.7870  2 C 2.67

Values from the calculation:
magnetic moment: 0.37 μB/f.u.
SG: C2/m (12)
calculated total energy: -5.22 eV/atom



Entry from OQMD: a relaxed structure of Ta2Al3Mo4N3 (PBE).

Unit cell a=5.0313 b=5.0313 c=14.7538 alpha=99.80 beta=99.80 gamma=60.13
Closest atoms and distances in Å follow each position.
Positions (direct):
Al 0.5820 0.7792 0.2494  4 Mo 2.76, 4 Al 2.79-2.80, 2 Ta 2.87-2.88
Al 0.9433 0.0567 0.2500  4 Mo 2.75, 4 Al 2.79-2.80, 2 Ta 2.87
Al 0.2208 0.4180 0.2506  4 Mo 2.76, 4 Al 2.79-2.80, 2 Ta 2.87-2.88
Al 0.7792 0.5820 0.7494  4 Mo 2.76, 4 Al 2.79-2.80, 2 Ta 2.87-2.88
Al 0.0567 0.9433 0.7500  4 Mo 2.75, 4 Al 2.79-2.80, 2 Ta 2.87
Al 0.4180 0.2208 0.7506  4 Mo 2.76, 4 Al 2.79-2.80, 2 Ta 2.87-2.88
Mo 0.1960 0.0349 0.0955  3 N 2.18-2.19
Mo 0.8667 0.7002 0.0956  3 N 2.18-2.19
Mo 0.2998 0.1333 0.4044  3 N 2.18-2.19
Mo 0.9651 0.8040 0.4045  3 N 2.18-2.19
Mo 0.0349 0.1960 0.5955  3 N 2.18-2.19
Mo 0.7002 0.8667 0.5956  3 N 2.18-2.19
Mo 0.1333 0.2998 0.9044  3 N 2.18-2.19
Mo 0.8040 0.9651 0.9045  3 N 2.18-2.19
N 0.5000 0.0000 0.0000  4 Mo 2.18, 2 Ta 2.18
N 0.8248 0.3381 0.0000  2 Ta 2.16, 4 Mo 2.18-2.19
N 0.1752 0.6619 0.0000  2 Ta 2.16, 4 Mo 2.18-2.19
N 0.3381 0.8248 0.5000  2 Ta 2.16, 4 Mo 2.18-2.19
N 0.0000 0.5000 0.5000  4 Mo 2.18, 2 Ta 2.18
N 0.6619 0.1752 0.5000  2 Ta 2.16, 4 Mo 2.18-2.19
Ta 0.5316 0.3646 0.0963  3 N 2.16-2.18
Ta 0.6354 0.4684 0.4037  3 N 2.16-2.18
Ta 0.3646 0.5316 0.5963  3 N 2.16-2.18
Ta 0.4684 0.6354 0.9037  3 N 2.16-2.18

Values from the calculation:
magnetic moment: 0.00 μB/f.u.
SG: C2/c (15)
calculated total energy: -8.99 eV/atom



Entry from OQMD: a relaxed structure of KFeBr3 (PBE).

Unit cell a=9.3014 b=4.0631 c=14.9446 alpha=90.00 beta=90.00 gamma=90.00
Closest atoms and distances in Å follow each position.
Positions (direct):
Br 0.6788 0.2500 0.0067  2 Fe 2.66
Br 0.9797 0.7500 0.0989  3 Fe 2.60-2.74
Br 0.2694 0.2500 0.2057  1 Fe 2.52
Br 0.7694 0.2500 0.2943  1 Fe 2.52
Br 0.4797 0.7500 0.4011  3 Fe 2.60-2.74
Br 0.1788 0.2500 0.4933  2 Fe 2.66
Br 0.8212 0.7500 0.5067  2 Fe 2.66
Br 0.5203 0.2500 0.5989  3 Fe 2.60-2.74
Br 0.2306 0.7500 0.7057  1 Fe 2.52
Br 0.7306 0.7500 0.7943  1 Fe 2.52
Br 0.0203 0.2500 0.9011  3 Fe 2.60-2.74
Br 0.3212 0.7500 0.9933  2 Fe 2.66
Fe 0.1615 0.2500 0.0513  6 Br 2.52-2.74
Fe 0.6615 0.2500 0.4487  6 Br 2.52-2.74
Fe 0.3385 0.7500 0.5513  6 Br 2.52-2.74
Fe 0.8385 0.7500 0.9487  6 Br 2.52-2.74
K 0.5540 0.7500 0.1715  8 Br 3.38-3.50
K 0.0540 0.7500 0.3285  8 Br 3.38-3.50
K 0.9460 0.2500 0.6715  8 Br 3.38-3.50
K 0.4460 0.2500 0.8285  8 Br 3.38-3.50

Values from the calculation:
magnetic moment: 4.02 μB/f.u.
SG: Pnma (62)
calculated total energy: -3.82 eV/atom



Entry from OQMD: a relaxed structure of Y3Mg3TlPd2 (PBE).

Unit cell a=7.5599 b=7.5599 c=4.2034 alpha=90.00 beta=90.00 gamma=120.00
Closest atoms and distances in Å follow each position.
Positions (direct):
Mg 0.2604 0.0000 0.0000  2 Pd 2.84, 2 Tl 2.88
Mg 0.0000 0.2604 0.0000  2 Pd 2.84, 2 Tl 2.88
Mg 0.7396 0.7396 0.0000  2 Pd 2.84, 2 Tl 2.88
Pd 0.6667 0.3333 0.0000  3 Mg 2.84, 6 Y 3.09
Pd 0.3333 0.6667 0.0000  3 Mg 2.84, 6 Y 3.09
Tl 0.0000 0.0000 0.5000  6 Mg 2.88, 3 Y 3.19
Y 0.5786 0.0000 0.5000  4 Pd 3.09, 1 Tl 3.19, 2 Mg 3.19
Y 0.4214 0.4214 0.5000  4 Pd 3.09, 1 Tl 3.19, 2 Mg 3.19
Y 0.0000 0.5786 0.5000  4 Pd 3.09, 1 Tl 3.19, 2 Mg 3.19

Values from the calculation:
magnetic moment: 0.01 μB/f.u.
SG: P-62m (189)
calculated total energy: -4.60 eV/atom



Entry from OQMD: a relaxed structure of NaHgAsO (PBE).

Unit cell a=4.2224 b=4.2224 c=7.4815 alpha=90.00 beta=90.00 gamma=90.00
Closest atoms and distances in Å follow each position.
Positions (direct):
As 0.0000 0.5000 0.1808  4 O 2.51, 1 Na 2.69
As 0.5000 0.0000 0.8192  4 O 2.51, 1 Na 2.69
Hg 0.0000 0.0000 0.5000  4 Hg 2.99, 4 As 3.19, 4 Na 3.20
Hg 0.5000 0.5000 0.5000  4 Hg 2.99, 4 As 3.19, 4 Na 3.20
Na 0.5000 0.0000 0.1791  4 O 2.50, 1 As 2.69
Na 0.0000 0.5000 0.8209  4 O 2.50, 1 As 2.69
O 0.0000 0.0000 0.0000  4 Na 2.50, 4 As 2.51
O 0.5000 0.5000 0.0000  4 Na 2.50, 4 As 2.51

Values from the calculation:
SG: P4/nmm (129)
calculated total energy: -2.95 eV/atom
E above lowest polymorph: 213 meV per atom



Entry from OQMD: a relaxed structure of LaUTe4Se2 (PBE).

Unit cell a=4.3258 b=12.9719 c=12.9719 alpha=19.19 beta=90.00 gamma=90.00
Closest atoms and distances in Å follow each position.
Positions (direct):
La 0.0000 0.8218 0.8218  5 Se 3.08-3.15, 4 Te 3.40
Se 0.5000 0.2916 0.2916  1 U 2.93, 4 La 3.15
Se 0.0000 0.7015 0.7015  1 La 3.08, 4 U 3.12
Te 0.0000 0.0797 0.0797  4 Te 3.06, 2 U 3.30
Te 0.0000 0.4242 0.4242  4 Te 3.06, 2 La 3.40
Te 0.5000 0.5798 0.5798  4 Te 3.06, 2 U 3.30
Te 0.5000 0.9243 0.9243  4 Te 3.06, 2 La 3.40
U 0.5000 0.1770 0.1770  5 Se 2.93-3.12

Values from the calculation:
magnetic moment: 2.47 μB/f.u.
SG: Amm2 (38)
calculated total energy: -5.44 eV/atom



Entry from OQMD: a relaxed structure of MgAu2 (PBE).

Unit cell a=5.4830 b=5.4830 c=5.4830 alpha=60.00 beta=60.00 gamma=60.00
Closest atoms and distances in Å follow each position.
Positions (direct):
Au 0.6250 0.6250 0.1250  6 Au 2.74
Au 0.6250 0.1250 0.6250  6 Au 2.74
Au 0.1250 0.6250 0.6250  6 Au 2.74
Au 0.6250 0.6250 0.6250  6 Au 2.74
Mg 0.0000 0.0000 0.0000  12 Au 3.21, 4 Mg 3.36
Mg 0.2500 0.2500 0.2500  12 Au 3.21, 4 Mg 3.36

Values from the calculation:
SG: Fd-3m (227)
calculated total energy: -3.00 eV/atom



Entry from OQMD: a relaxed structure of K3Pt3N2 (PBE).

Unit cell a=6.7265 b=6.7265 c=6.7265 alpha=48.97 beta=48.97 gamma=48.97
Closest atoms and distances in Å follow each position.
Positions (direct):
K 0.1009 0.1009 0.1009  1 N 2.82
K 0.5000 0.5000 0.5000  6 Pt 3.36, 6 K 3.42, 6 N 3.62
K 0.8991 0.8991 0.8991  1 N 2.82
N 0.2603 0.2603 0.2603  3 Pt 2.07
N 0.7397 0.7397 0.7397  3 Pt 2.07
Pt 0.5000 0.5000 0.0000  2 N 2.07
Pt 0.5000 0.0000 0.5000  2 N 2.07
Pt 0.0000 0.5000 0.5000  2 N 2.07

Values from the calculation:
magnetic moment: 0.28 μB/f.u.
SG: R-3m (166)
calculated total energy: -4.80 eV/atom